A plane-wave DFT calculation with GGA-PBE was carried out for a geometry-optimized YCo2Cl structure.

Computed properties:
- Density: 5.677 g cm⁻³
- SG: No. 123
- Calculated volume: 70.9 Å³/f.u.
- Formation energy without anion corrections: 0.00 eV per atom
- Magnetic moment: 2.9 μB/f.u.

a = 3.6469 Å, b = 3.6469 Å, c = 5.3271 Å
α = 90.00°, β = 90.00°, γ = 90.00°
With the nearest neighbours (Å) after each atom.
Fractional coordinates of all 4 atoms:
Co 0.0000 0.0000 0.0000  4 Co 2.58
Co 0.5000 0.5000 0.0000  4 Co 2.58
Cl 0.0000 0.5000 0.5000  4 Y 2.58
Y 0.5000 0.0000 0.5000  4 Cl 2.58